Version one
Tb3Er6Sc2 GGA-PBE optimized geometry; D(E_F) = 18.840 states/eV per cell
1.0
2.7457 1.5852 12.6004
-2.7457 1.5852 12.6004
0.0000 -3.1705 12.6004
Tb Er Sc
3 6 2
direct
0.0000 0.0000 0.0000 Tb
0.2829 0.2829 0.2829 Tb
0.7171 0.7171 0.7171 Tb
0.0934 0.0934 0.0934 Er
0.1876 0.1876 0.1876 Er
0.3772 0.3772 0.3772 Er
0.6228 0.6228 0.6228 Er
0.8124 0.8124 0.8124 Er
0.9066 0.9066 0.9066 Er
0.4612 0.4612 0.4612 Sc
0.5388 0.5388 0.5388 Sc

---

Version two
Tb3Er6Sc2 GGA-PBE optimized geometry; D(E_F) = 18.713 states/eV per cell
1.0
-2.3373 2.3373 15.9072
2.3373 -2.3373 15.9072
2.3373 2.3373 -15.9072
Tb Er Sc
3 6 2
direct
0.0000 0.0000 0.0000 Tb
0.1997 0.1997 0.0000 Tb
0.8003 0.8003 0.0000 Tb
0.1163 0.6163 0.5000 Er
0.3070 0.3070 0.0000 Er
0.3837 0.8837 0.5000 Er
0.6163 0.1163 0.5000 Er
0.6930 0.6930 0.0000 Er
0.8837 0.3837 0.5000 Er
0.4562 0.4562 0.0000 Sc
0.5438 0.5438 0.0000 Sc

---

It comes down to version one, which is 19.8 kJ/mol of atoms more stable than the next structure.

---

Version one
Tb2Er3Sc3 GGA-PBE optimized geometry; D(E_F) = 12.722 states/eV per cell
1.0
-2.4041 2.4437 9.7053
2.4041 -2.4437 9.7053
2.4041 2.4437 -9.7053
Tb Er Sc
2 3 3
direct
0.2491 0.2491 0.0000 Tb
0.7509 0.7509 0.0000 Tb
0.0000 0.0000 0.0000 Er
0.3785 0.8785 0.5000 Er
0.6215 0.1215 0.5000 Er
0.1229 0.6229 0.5000 Sc
0.5000 0.5000 0.0000 Sc
0.8771 0.3771 0.5000 Sc

---

Version two
Tb2Er3Sc3 GGA-PBE optimized geometry; D(E_F) = 12.511 states/eV per cell
1.0
11.4508 -1.7296 0.0000
11.4508 1.7296 0.0000
-1.5178 0.0000 5.7492
Tb Er Sc
2 3 3
direct
0.2471 0.2471 0.2435 Tb
0.7529 0.7529 0.7565 Tb
0.0000 0.0000 0.0000 Er
0.1225 0.1225 0.4622 Er
0.8775 0.8775 0.5378 Er
0.3772 0.3772 0.0430 Sc
0.5000 0.5000 0.5000 Sc
0.6228 0.6228 0.9570 Sc

---

It comes down to version two, which is 2.1 kJ/mol of atoms more stable than the next structure.

---

Version one
TbEr7Sc4 GGA-PBE optimized geometry; D(E_F) = 16.905 states/eV per cell
1.0
5.9925 0.0000 0.0000
-0.0046 6.9069 0.0000
-2.0068 -0.0066 8.2555
Tb Er Sc
1 7 4
direct
0.0000 0.0000 0.0000 Tb
0.0000 0.5000 0.0000 Er
0.2234 0.0000 0.6632 Er
0.2831 0.2557 0.3391 Er
0.4975 0.7462 0.0040 Er
0.5025 0.2538 0.9960 Er
0.7169 0.7443 0.6609 Er
0.7766 0.0000 0.3368 Er
0.2170 0.5002 0.6602 Sc
0.2759 0.7457 0.3377 Sc
0.7241 0.2543 0.6623 Sc
0.7830 0.4998 0.3398 Sc

---

Version two
TbEr7Sc4 GGA-PBE optimized geometry; D(E_F) = 19.633 states/eV per cell
1.0
7.7126 -2.8441 0.0000
7.7126 2.8441 0.0000
-4.8797 0.0000 8.0081
Tb Er Sc
1 7 4
direct
0.0000 0.0000 0.0000 Tb
0.0871 0.0871 0.4433 Er
0.2079 0.2079 0.8808 Er
0.2444 0.2444 0.2788 Er
0.5000 0.5000 0.0000 Er
0.7556 0.7556 0.7212 Er
0.7921 0.7921 0.1192 Er
0.9129 0.9129 0.5567 Er
0.3308 0.3308 0.6526 Sc
0.4468 0.4468 0.2969 Sc
0.5532 0.5532 0.7031 Sc
0.6692 0.6692 0.3474 Sc

---

It comes down to version one, which is 22.8 kJ/mol of atoms more stable than the next structure.

---

Version one
TbEr2Sc4 GGA-PBE optimized geometry; D(E_F) = 17.805 states/eV per cell
1.0
6.4836 0.0000 0.0000
-1.7201 8.2029 0.0000
-1.9147 -4.1529 7.1407
Tb Er Sc
2 4 8
direct
0.0000 0.0000 0.0000 Tb
0.2470 0.8410 0.6329 Tb
0.2443 0.2637 0.8459 Er
0.5021 0.7143 0.1507 Er
0.7418 0.4911 0.3768 Er
0.7765 0.3329 0.9391 Er
0.0339 0.7882 0.2305 Sc
0.0522 0.5834 0.8003 Sc
0.2272 0.4561 0.2945 Sc
0.4720 0.1672 0.4731 Sc
0.5257 0.0424 0.0726 Sc
0.5452 0.6075 0.7455 Sc
0.7354 0.9193 0.5871 Sc
0.9623 0.1921 0.4331 Sc

---

Version two
TbEr2Sc4 GGA-PBE optimized geometry; D(E_F) = 12.150 states/eV per cell
1.0
1.7929 -10.4789 0.0000
1.7929 10.4789 0.0000
0.0000 0.0000 5.2322
Tb Er Sc
1 2 4
direct
0.0000 0.0000 0.0000 Tb
0.4262 0.5738 0.5000 Er
0.5738 0.4262 0.5000 Er
0.1971 0.8029 0.5000 Sc
0.3200 0.6800 0.0000 Sc
0.6800 0.3200 0.0000 Sc
0.8029 0.1971 0.5000 Sc

---

It comes down to version one, which is 10.2 kJ/mol of atoms more stable than the next structure.

---

Version one
Tb3Er2Sc3 GGA-PBE optimized geometry; D(E_F) = 12.187 states/eV per cell
1.0
-2.3935 2.4538 9.7612
2.3935 -2.4538 9.7612
2.3935 2.4538 -9.7612
Tb Er Sc
3 2 3
direct
0.0000 0.0000 0.0000 Tb
0.3779 0.8779 0.5000 Tb
0.6221 0.1221 0.5000 Tb
0.2486 0.2486 0.0000 Er
0.7514 0.7514 0.0000 Er
0.1243 0.6243 0.5000 Sc
0.5000 0.5000 0.0000 Sc
0.8757 0.3757 0.5000 Sc

---

Version two
Tb3Er2Sc3 GGA-PBE optimized geometry; D(E_F) = 12.037 states/eV per cell
1.0
11.4839 -1.7353 0.0000
11.4839 1.7353 0.0000
-1.4987 0.0000 5.7508
Tb Er Sc
3 2 3
direct
0.0000 0.0000 0.0000 Tb
0.1232 0.1232 0.4649 Tb
0.8768 0.8768 0.5351 Tb
0.2472 0.2472 0.2433 Er
0.7528 0.7528 0.7567 Er
0.3759 0.3759 0.0400 Sc
0.5000 0.5000 0.5000 Sc
0.6241 0.6241 0.9600 Sc

---

It comes down to version two, which is 1.9 kJ/mol of atoms more stable than the next structure.

---

Version one
TbEr7Sc3 GGA-PBE optimized geometry; D(E_F) = 18.478 states/eV per cell
1.0
6.8977 0.0000 0.0000
-3.4489 5.9736 0.0000
0.0000 0.0000 8.2060
Tb Er Sc
1 7 3
direct
0.0000 0.0000 0.0000 Tb
0.0027 0.5014 0.9912 Er
0.3306 0.1653 0.3425 Er
0.3333 0.6667 0.3343 Er
0.4986 0.5014 0.9912 Er
0.4986 0.9973 0.9912 Er
0.8347 0.1653 0.3425 Er
0.8347 0.6694 0.3425 Er
0.1671 0.3341 0.6664 Sc
0.1671 0.8329 0.6664 Sc
0.6659 0.8329 0.6664 Sc

---

Version two
TbEr7Sc3 GGA-PBE optimized geometry; D(E_F) = 17.971 states/eV per cell
1.0
6.6220 0.0000 0.0000
0.0000 5.3483 0.0000
-2.3923 0.0000 9.2338
Tb Er Sc
1 7 3
direct
0.0000 0.0000 0.0000 Tb
0.0000 0.0000 0.5000 Er
0.1568 0.5000 0.7800 Er
0.3190 0.5000 0.1303 Er
0.4558 0.0000 0.3301 Er
0.5442 0.0000 0.6699 Er
0.6810 0.5000 0.8697 Er
0.8432 0.5000 0.2200 Er
0.2726 0.5000 0.4795 Sc
0.5000 0.0000 0.0000 Sc
0.7274 0.5000 0.5205 Sc

---

It comes down to version two, which is 7.5 kJ/mol of atoms more stable than the next structure.

---

Version one
Tb4Er7Sc GGA-PBE optimized geometry; D(E_F) = 20.406 states/eV per cell
1.0
5.9454 -2.8681 0.0000
5.9454 2.8681 0.0000
-5.8518 0.0000 11.1936
Tb Er Sc
4 7 1
direct
0.1387 0.1387 0.2754 Tb
0.2867 0.2867 0.8354 Tb
0.7133 0.7133 0.1646 Tb
0.8613 0.8613 0.7246 Tb
0.0000 0.0000 0.5000 Er
0.1328 0.1328 0.9920 Er
0.2927 0.2927 0.5745 Er
0.4248 0.4248 0.2004 Er
0.5752 0.5752 0.7996 Er
0.7073 0.7073 0.4255 Er
0.8672 0.8672 0.0080 Er
0.5000 0.5000 0.5000 Sc

---

Version two
Tb4Er7Sc GGA-PBE optimized geometry; D(E_F) = 21.082 states/eV per cell
1.0
6.3970 0.0000 0.0000
0.9591 6.6243 0.0000
2.0752 0.4165 8.7314
Tb Er Sc
4 7 1
direct
0.1502 0.3164 0.2799 Tb
0.3352 0.8806 0.6941 Tb
0.6648 0.1194 0.3059 Tb
0.8498 0.6836 0.7201 Tb
0.0026 0.2552 0.9510 Er
0.1778 0.8065 0.3634 Er
0.3121 0.3912 0.6173 Er
0.5000 0.0000 0.0000 Er
0.6879 0.6088 0.3827 Er
0.8222 0.1935 0.6366 Er
0.9974 0.7448 0.0490 Er
0.5000 0.5000 0.0000 Sc

---

It comes down to version two, which is 17.7 kJ/mol of atoms more stable than the next structure.

---

Version one
Tb4Er5Sc GGA-PBE optimized geometry; D(E_F) = 13.310 states/eV per cell
1.0
-5.2724 5.2724 2.8553
5.2724 -5.2724 2.8553
5.2724 5.2724 -2.8553
Tb Er Sc
4 5 1
direct
0.0000 0.3223 0.3223 Tb
0.0000 0.6777 0.6777 Tb
0.3223 0.0000 0.3223 Tb
0.6777 0.0000 0.6777 Tb
0.3033 0.3033 0.6263 Er
0.3033 0.6770 0.0000 Er
0.6770 0.3033 0.0000 Er
0.6770 0.6770 0.3737 Er
0.7718 0.7718 0.0000 Er
0.2432 0.2432 0.0000 Sc

---

Version two
Tb4Er5Sc GGA-PBE optimized geometry; D(E_F) = 17.578 states/eV per cell
1.0
8.6828 -1.7188 0.0000
8.6828 1.7188 0.0000
-3.1656 0.0000 10.3343
Tb Er Sc
4 5 1
direct
0.0917 0.0917 0.3075 Tb
0.3040 0.3040 0.4163 Tb
0.6960 0.6960 0.5837 Tb
0.9083 0.9083 0.6925 Tb
0.1062 0.1062 0.7870 Er
0.2064 0.2064 0.0975 Er
0.5000 0.5000 0.0000 Er
0.7936 0.7936 0.9025 Er
0.8938 0.8938 0.2130 Er
0.5000 0.5000 0.5000 Sc

---

It comes down to version two, which is 11.3 kJ/mol of atoms more stable than the next structure.